{
  "formula": "SrTlSi2C",
  "functional": "PBE",
  "state": "optimized geometry",
  "magnetic_moment_mub_per_fu": 0.00,
  "raw_formation_energy_mev_per_atom": 1992.9,
  "lattice_angstrom": [[-2.8932, -3.7203, 3.2540], [-1.7511, -1.9867, -3.8285], [4.4483, -3.6034, -0.1647]],
  "species": ["C", "Sr", "Tl", "Si", "Si"],
  "frac_coords": [[0.0000, 0.5000, 0.0000], [0.0000, 0.0000, 0.0000], [0.5000, 0.5000, 0.5000], [0.0000, 0.0000, 0.5000], [0.5000, 0.0000, 0.0000]]
}

{
  "formula": "KAuSe2",
  "functional": "PBE",
  "state": "optimized geometry",
  "magnetic_moment_mub_per_fu": 0.00,
  "raw_formation_energy_mev_per_atom": -29.7,
  "lattice_angstrom": [[4.6764, 0.0000, 0.0000], [0.0000, 4.6889, 0.0000], [0.0000, 0.0000, 4.1989]],
  "species": ["Au", "K", "Se", "Se"],
  "frac_coords": [[0.5000, 0.0000, 0.5000], [0.0000, 0.5000, 0.5000], [0.0000, 0.0000, 0.0000], [0.5000, 0.5000, 0.0000]]
}

{
  "formula": "BaSr2Br",
  "functional": "PBE",
  "state": "optimized geometry",
  "magnetic_moment_mub_per_fu": 0.00,
  "raw_formation_energy_mev_per_atom": -462.2,
  "de_polymorph_ev_per_fu": 1.094,
  "lattice_angstrom": [[6.6279, -0.0020, -0.0066], [-3.2309, 7.2841, 0.0082], [0.1662, 1.2274, 4.0511]],
  "species": ["Sr", "Sr", "Ba", "Br"],
  "frac_coords": [[0.0000, 0.0000, 0.0000], [0.5000, 0.0000, 0.5000], [0.0000, 0.5000, 0.5000], [0.5000, 0.5000, 0.0000]]
}

{
  "formula": "PuScRe4",
  "functional": "PBE",
  "state": "optimized geometry",
  "magnetic_moment_mub_per_fu": 6.07,
  "e_form_ev_per_fu": -0.66,
  "lattice_angstrom": [[-5.3045, 0.7083, 0.1604], [-3.2130, -4.1042, 1.2238], [-2.5706, -0.0796, 4.6958]],
  "species": ["Sc", "Re", "Re", "Re", "Re", "Pu"],
  "frac_coords": [[0.0000, 0.0000, 0.0000], [0.6254, 0.6254, 0.1239], [0.6254, 0.1239, 0.6254], [0.6254, 0.6254, 0.6254], [0.1239, 0.6254, 0.6254], [0.2500, 0.2500, 0.2500]]
}

{
  "formula": "Er4SnRu2",
  "functional": "PBE",
  "state": "optimized geometry",
  "magnetic_moment_mub_per_fu": 0.00,
  "e_form_ev_per_fu": -3.36,
  "lattice_angstrom": [[-4.9485, -2.0554, 2.6008], [0.8350, -2.4315, -8.4828], [5.0576, -3.6988, 4.6168]],
  "species": ["Er", "Er", "Er", "Er", "Er", "Er", "Er", "Er", "Sn", "Sn", "Ru", "Ru", "Ru", "Ru"],
  "frac_coords": [[0.1236, 0.3272, 0.4110], [0.3343, 0.4369, 0.0796], [0.8146, 0.5978, 0.5953], [0.6560, 0.1522, 0.8832], [0.5136, 0.0979, 0.4047], [0.0427, 0.0510, 0.6278], [0.4420, 0.7182, 0.8801], [0.9406, 0.6325, 0.1228], [0.4282, 0.7610, 0.4848], [0.0904, 0.0016, 0.0259], [0.4985, 0.3844, 0.7470], [0.7628, 0.8840, 0.2516], [0.6248, 0.3178, 0.2291], [0.9781, 0.3875, 0.7570]]
}

{
  "formula": "Tl6As2Au",
  "functional": "PBE",
  "state": "optimized geometry",
  "magnetic_moment_mub_per_fu": 0.00,
  "e_form_ev_per_fu": 0.13,
  "lattice_angstrom": [[-1.6426, -1.2571, -3.8833], [7.8674, -3.8522, -2.0808], [-1.8708, -5.0355, 4.9140]],
  "species": ["Tl", "Tl", "Tl", "Tl", "Tl", "Tl", "As", "As", "Au"],
  "frac_coords": [[0.2964, 0.8647, 0.5929], [0.9558, 0.2063, 0.9117], [0.6326, 0.5446, 0.2652], [0.0442, 0.7937, 0.0883], [0.7036, 0.1353, 0.4071], [0.3674, 0.4554, 0.7348], [0.8445, 0.6639, 0.6891], [0.1555, 0.3361, 0.3109], [0.5000, 0.0000, 0.0000]]
}

{
  "formula": "HfTiCo2",
  "functional": "PBE",
  "state": "optimized geometry",
  "magnetic_moment_mub_per_fu": 0.76,
  "e_form_ev_per_fu": 0.98,
  "de_polymorph_ev_per_fu": 2.611,
  "lattice_angstrom": [[-0.6628, 4.0179, 2.3491], [-1.0359, -2.6045, 4.1626], [11.2233, 0.1599, 2.8932]],
  "species": ["Hf", "Hf", "Hf", "Hf", "Ti", "Ti", "Ti", "Ti", "Co", "Co", "Co", "Co", "Co", "Co", "Co", "Co"],
  "frac_coords": [[0.0000, 0.2500, 0.5608], [0.5000, 0.7500, 0.0982], [0.0000, 0.7500, 0.4392], [0.5000, 0.2500, 0.9018], [0.5000, 0.7500, 0.6715], [0.5000, 0.2500, 0.3285], [0.0000, 0.2500, 0.2984], [0.0000, 0.7500, 0.7016], [0.0000, 0.0000, 0.0000], [0.5000, 0.5000, 0.5000], [0.2687, 0.7500, 0.8735], [0.7313, 0.2500, 0.1265], [0.7313, 0.7500, 0.8735], [0.2687, 0.2500, 0.1265], [0.0000, 0.5000, 0.0000], [0.5000, 0.0000, 0.5000]]
}

{
  "formula": "Pa2InTc2",
  "functional": "PBE",
  "state": "optimized geometry",
  "magnetic_moment_mub_per_fu": 0.00,
  "e_form_ev_per_fu": -0.86,
  "lattice_angstrom": [[-1.5540, 1.6171, 4.8648], [0.7791, -5.2965, -0.1922], [7.8283, 3.2552, 0.0123]],
  "species": ["Pa", "Pa", "Pa", "Pa", "In", "In", "Tc", "Tc", "Tc", "Tc"],
  "frac_coords": [[0.3454, 0.3105, 0.1561], [0.1543, 0.6893, 0.3439], [0.6546, 0.6895, 0.8439], [0.8457, 0.3107, 0.6561], [0.7498, 0.9998, 0.2500], [0.2502, 0.0002, 0.7500], [0.7511, 0.2511, 0.0001], [0.2510, 0.2510, 0.4999], [0.2489, 0.7489, 0.9999], [0.7490, 0.7490, 0.5001]]
}

no.,density (Mg/m³)
1,3.9
2,7.1
3,3.3
4,15.8
5,9.9
6,9.5
7,8.4
8,12.2